No. 1
Entry from Alexandria: an optimized crystal structure of HoMg2Pd9 (PBE).

Cell: 4.0408 4.0408 11.9414 Å, 90.00 90.00 90.00°
Last column: nearest neighbours and their distance in Å.
Fractional positions:
Ho 0.0000 0.0000 0.0000  12 Pd 2.86-2.91
Mg 0.0000 0.0000 0.3387  12 Pd 2.79-2.86
Mg 0.0000 0.0000 0.6613  12 Pd 2.79-2.86
Pd 0.0000 0.5000 0.1756  8 Pd 2.80-2.91, 2 Mg 2.81, 2 Ho 2.91
Pd 0.0000 0.5000 0.5000  4 Mg 2.79, 8 Pd 2.80-2.86
Pd 0.0000 0.5000 0.8244  8 Pd 2.80-2.91, 2 Mg 2.81, 2 Ho 2.91
Pd 0.5000 0.0000 0.1756  8 Pd 2.80-2.91, 2 Mg 2.81, 2 Ho 2.91
Pd 0.5000 0.0000 0.5000  4 Mg 2.79, 8 Pd 2.80-2.86
Pd 0.5000 0.0000 0.8244  8 Pd 2.80-2.91, 2 Mg 2.81, 2 Ho 2.91
Pd 0.5000 0.5000 0.0000  4 Ho 2.86, 8 Pd 2.91
Pd 0.5000 0.5000 0.3379  8 Pd 2.80, 4 Mg 2.86
Pd 0.5000 0.5000 0.6621  8 Pd 2.80, 4 Mg 2.86

Properties
Formation energy: -603.2 meV/atom
Crystal system: tetragonal
Total magnetization: 0.0 μB/f.u.
DOS at the Fermi energy: 1.09 states/eV/atom
SG: No. 123



No. 2
Entry from Alexandria: an optimized crystal structure of Ho2MgPd3 (PBE).

Cell: 4.8422 4.8422 11.7244 Å, 90.00 90.00 120.00°
Last column: nearest neighbours and their distance in Å.
Fractional positions:
Ho 0.0000 0.0000 0.0000  8 Pd 2.95-2.97
Ho 0.0000 0.0000 0.5000  8 Pd 2.91-2.94
Ho 0.3333 0.6667 0.1783  8 Pd 2.88-3.09
Ho 0.6667 0.3333 0.8217  8 Pd 2.88-3.09
Mg 0.3333 0.6667 0.6653  8 Pd 2.83-2.98
Mg 0.6667 0.3333 0.3347  8 Pd 2.83-2.98
Pd 0.0000 0.0000 0.2518  5 Ho 2.91-2.95, 3 Mg 2.96
Pd 0.0000 0.0000 0.7482  5 Ho 2.91-2.95, 3 Mg 2.96
Pd 0.3333 0.6667 0.4237  4 Mg 2.83-2.98, 4 Ho 2.88-2.94
Pd 0.3333 0.6667 0.9148  1 Mg 2.93, 7 Ho 2.97-3.09
Pd 0.6667 0.3333 0.0852  1 Mg 2.93, 7 Ho 2.97-3.09
Pd 0.6667 0.3333 0.5763  4 Mg 2.83-2.98, 4 Ho 2.88-2.94

Properties
Formation energy: -847.2 meV/atom
Crystal system: trigonal
Total magnetization: 0.0 μB/f.u.
DOS at the Fermi energy: 0.47 states/eV/atom
SG: No. 164
Energy above the most stable polymorph in this dataset: 0 meV/atom



No. 3
Entry from Alexandria: an optimized crystal structure of Ho4Mg5Pd2 (PBE).

Cell: 7.8936 3.5752 9.8465 Å, 90.00 92.95 90.00°
Last column: nearest neighbours and their distance in Å.
Fractional positions:
Ho 0.1641 0.0000 0.3563  2 Pd 2.84
Ho 0.2164 0.0000 0.9478  4 Pd 2.91-2.97
Ho 0.7836 0.0000 0.0522  4 Pd 2.91-2.97
Ho 0.8359 0.0000 0.6437  2 Pd 2.84
Mg 0.1873 0.5000 0.6546  1 Pd 2.91, 2 Mg 2.97-3.23
Mg 0.4501 0.5000 0.1781  1 Pd 3.02, 2 Mg 3.17-3.23, 2 Ho 3.36
Mg 0.5000 0.5000 0.5000  4 Mg 2.97-3.17
Mg 0.5499 0.5000 0.8219  1 Pd 3.02, 2 Mg 3.17-3.23, 2 Ho 3.36
Mg 0.8127 0.5000 0.3454  1 Pd 2.91, 2 Mg 2.97-3.23
Pd 0.0681 0.5000 0.1425  6 Ho 2.84-2.97, 2 Mg 2.91-3.02, 1 Pd 2.95
Pd 0.9319 0.5000 0.8575  6 Ho 2.84-2.97, 2 Mg 2.91-3.02, 1 Pd 2.95

Properties
Formation energy: -352.7 meV/atom
Crystal system: monoclinic
Total magnetization: 0.0 μB/f.u.
DOS at the Fermi energy: 0.84 states/eV/atom
SG: No. 10



No. 4
Entry from Alexandria: an optimized crystal structure of Ho2Mg3Pd4 (PBE).

Cell: 8.7021 8.7021 7.4150 Å, 90.00 90.00 141.14°
Last column: nearest neighbours and their distance in Å.
Fractional positions:
Ho 0.1024 0.8976 0.9104  5 Pd 2.97-3.10
Ho 0.3976 0.6024 0.4104  5 Pd 2.97-3.10
Ho 0.6024 0.3976 0.5896  5 Pd 2.97-3.10
Ho 0.8976 0.1024 0.0896  5 Pd 2.97-3.10
Mg 0.0000 0.0000 0.5000  6 Pd 2.58-2.74
Mg 0.0208 0.4792 0.7500  5 Pd 2.69-2.77, 2 Mg 2.89
Mg 0.4792 0.0208 0.2500  5 Pd 2.69-2.77, 2 Mg 2.89
Mg 0.5000 0.5000 0.0000  6 Pd 2.58-2.74
Mg 0.5208 0.9792 0.7500  5 Pd 2.69-2.77, 2 Mg 2.89
Mg 0.9792 0.5208 0.2500  5 Pd 2.69-2.77, 2 Mg 2.89
Pd 0.1660 0.8340 0.5360  5 Mg 2.74-2.77, 1 Ho 2.97, 2 Pd 3.05
Pd 0.1847 0.3153 0.7500  3 Mg 2.58-2.69, 2 Pd 2.89
Pd 0.3153 0.1847 0.2500  3 Mg 2.58-2.69, 2 Pd 2.89
Pd 0.3340 0.6660 0.0360  5 Mg 2.74-2.77, 1 Ho 2.97, 2 Pd 3.05
Pd 0.6660 0.3340 0.9640  5 Mg 2.74-2.77, 1 Ho 2.97, 2 Pd 3.05
Pd 0.6847 0.8153 0.7500  3 Mg 2.58-2.69, 2 Pd 2.89
Pd 0.8153 0.6847 0.2500  3 Mg 2.58-2.69, 2 Pd 2.89
Pd 0.8340 0.1660 0.4640  5 Mg 2.74-2.77, 1 Ho 2.97, 2 Pd 3.05

Properties
Formation energy: -703.9 meV/atom
Crystal system: orthorhombic
Total magnetization: 0.0 μB/f.u.
DOS at the Fermi energy: 0.64 states/eV/atom
SG: No. 64



No. 5
Entry from Alexandria: an optimized crystal structure of HoMg5Pd6 (PBE).

Cell: 4.5758 6.5555 7.1138 Å, 90.00 106.01 90.00°
Last column: nearest neighbours and their distance in Å.
Fractional positions:
Ho 0.0000 0.0000 0.0000  8 Pd 2.85-2.87
Mg 0.0000 0.5000 0.0000  8 Pd 2.78-2.81
Mg 0.3315 0.0000 0.6570  8 Pd 2.76-2.90, 1 Mg 3.04
Mg 0.3357 0.5000 0.6697  8 Pd 2.75-2.79
Mg 0.6643 0.5000 0.3303  8 Pd 2.75-2.79
Mg 0.6685 0.0000 0.3430  8 Pd 2.76-2.90, 1 Mg 3.04
Pd 0.1681 0.2580 0.3385  7 Mg 2.76-2.85, 1 Ho 2.87
Pd 0.1681 0.7420 0.3385  7 Mg 2.76-2.85, 1 Ho 2.87
Pd 0.5000 0.2602 0.0000  6 Mg 2.75-2.90, 2 Ho 2.85
Pd 0.5000 0.7398 0.0000  6 Mg 2.75-2.90, 2 Ho 2.85
Pd 0.8319 0.2580 0.6615  7 Mg 2.76-2.85, 1 Ho 2.87
Pd 0.8319 0.7420 0.6615  7 Mg 2.76-2.85, 1 Ho 2.87

Properties
Formation energy: -756.6 meV/atom
Crystal system: monoclinic
Total magnetization: 0.0 μB/f.u.
DOS at the Fermi energy: 0.31 states/eV/atom
SG: No. 10



No. 6
Entry from Alexandria: an optimized crystal structure of Ho3Mg5Pd2 (PBE).

Cell: 9.3457 9.3457 9.3457 Å, 99.62 93.12 141.12°
Last column: nearest neighbours and their distance in Å.
Fractional positions:
Ho 0.1645 0.2377 0.4022  1 Pd 2.93
Ho 0.2500 0.2500 0.0000  4 Pd 2.87, 2 Ho 3.11
Ho 0.3355 0.7377 0.0731  1 Pd 2.93
Ho 0.6645 0.2623 0.9269  1 Pd 2.93
Ho 0.7500 0.7500 0.0000  4 Pd 2.87, 2 Ho 3.11
Ho 0.8355 0.7623 0.5978  1 Pd 2.93
Mg 0.0209 0.7500 0.2709  2 Pd 2.67, 1 Mg 2.94
Mg 0.0811 0.6804 0.7616  1 Pd 2.52
Mg 0.2500 0.7500 0.5000  8 Mg 2.87-3.11
Mg 0.4189 0.1804 0.5993  1 Pd 2.52
Mg 0.4791 0.7500 0.7291  2 Pd 2.67, 1 Mg 2.94
Mg 0.5209 0.2500 0.2709  2 Pd 2.67, 1 Mg 2.94
Mg 0.5811 0.8196 0.4007  1 Pd 2.52
Mg 0.7500 0.2500 0.5000  8 Mg 2.87-3.11
Mg 0.9189 0.3196 0.2384  1 Pd 2.52
Mg 0.9791 0.2500 0.7291  2 Pd 2.67, 1 Mg 2.94
Pd 0.1482 0.8769 0.0251  3 Mg 2.52-2.67
Pd 0.3518 0.3769 0.7286  3 Mg 2.52-2.67
Pd 0.6482 0.6231 0.2714  3 Mg 2.52-2.67
Pd 0.8518 0.1231 0.9749  3 Mg 2.52-2.67

Properties
Formation energy: -276.7 meV/atom
Crystal system: orthorhombic
Total magnetization: 0.0 μB/f.u.
DOS at the Fermi energy: 0.69 states/eV/atom
SG: No. 72



No. 7
Entry from Alexandria: an optimized crystal structure of Ho2Mg3Pd4 (PBE).

Cell: 4.7100 4.7100 9.0776 Å, 90.05 90.05 60.03°
Last column: nearest neighbours and their distance in Å.
Fractional positions:
Ho 0.1664 0.1664 0.2876  7 Pd 2.88-2.98
Ho 0.8336 0.8336 0.7124  7 Pd 2.88-2.98
Mg 0.1674 0.1674 0.9197  4 Pd 2.80-2.85, 3 Mg 3.08-3.10
Mg 0.5000 0.5000 0.5000  8 Pd 2.88-3.14
Mg 0.8326 0.8326 0.0803  4 Pd 2.80-2.85, 3 Mg 3.08-3.10
Pd 0.1669 0.1669 0.6054  4 Mg 2.85-2.88, 4 Ho 2.88-2.89
Pd 0.4991 0.4991 0.1537  1 Pd 2.79, 3 Mg 2.80, 3 Ho 2.98
Pd 0.5009 0.5009 0.8463  1 Pd 2.79, 3 Mg 2.80, 3 Ho 2.98
Pd 0.8331 0.8331 0.3946  4 Mg 2.85-2.88, 4 Ho 2.88-2.89

Properties
Formation energy: -704.7 meV/atom
Crystal system: monoclinic
Total magnetization: 0.0 μB/f.u.
DOS at the Fermi energy: 0.38 states/eV/atom
SG: No. 12



No. 8
Entry from Alexandria: an optimized crystal structure of HoMg2Pd2 (PBE).

Cell: 4.7439 4.7439 5.4714 Å, 90.00 90.00 120.00°
Last column: nearest neighbours and their distance in Å.
Fractional positions:
Ho 0.0000 0.0000 0.0000  6 Pd 2.86
Mg 0.3333 0.6667 0.3597  5 Pd 2.68-2.97
Mg 0.6667 0.3333 0.6403  5 Pd 2.68-2.97
Pd 0.3333 0.6667 0.8497  5 Mg 2.68-2.97, 3 Ho 2.86
Pd 0.6667 0.3333 0.1503  5 Mg 2.68-2.97, 3 Ho 2.86

Properties
Formation energy: -628.6 meV/atom
Crystal system: trigonal
Total magnetization: 0.0 μB/f.u.
DOS at the Fermi energy: 0.41 states/eV/atom
SG: No. 164
Energy above the most stable polymorph in this dataset: 0 meV/atom



No. 9
Entry from Alexandria: an optimized crystal structure of HoMg2Pd8 (PBE).

Cell: 7.4727 7.4727 6.3826 Å, 105.80 105.80 31.97°
Last column: nearest neighbours and their distance in Å.
Fractional positions:
Ho 0.0000 0.0000 0.0000  12 Pd 2.82-2.93
Mg 0.2768 0.2768 0.3461  10 Pd 2.70-2.91
Mg 0.7232 0.7232 0.6539  10 Pd 2.70-2.91
Pd 0.0963 0.0963 0.4664  8 Pd 2.78-2.92, 3 Mg 2.79-2.91, 1 Ho 2.91
Pd 0.1822 0.1822 0.9160  3 Mg 2.70-2.82, 8 Pd 2.78-2.90, 1 Ho 2.82
Pd 0.3567 0.3567 0.8046  3 Mg 2.79-2.82, 7 Pd 2.79-2.96, 2 Ho 2.93
Pd 0.4576 0.4576 0.2788  9 Pd 2.74-2.96, 1 Mg 2.75, 2 Ho 2.90
Pd 0.5424 0.5424 0.7212  9 Pd 2.74-2.96, 1 Mg 2.75, 2 Ho 2.90
Pd 0.6433 0.6433 0.1954  3 Mg 2.79-2.82, 7 Pd 2.79-2.96, 2 Ho 2.93
Pd 0.8178 0.8178 0.0840  3 Mg 2.70-2.82, 8 Pd 2.78-2.90, 1 Ho 2.82
Pd 0.9037 0.9037 0.5336  8 Pd 2.78-2.92, 3 Mg 2.79-2.91, 1 Ho 2.91

Properties
Formation energy: -617.9 meV/atom
Crystal system: monoclinic
Total magnetization: 0.0 μB/f.u.
DOS at the Fermi energy: 0.35 states/eV/atom
SG: No. 12



No. 10
Entry from Alexandria: an optimized crystal structure of HoMgPd (PBE).

Cell: 4.9918 4.9918 5.8299 Å, 90.00 90.00 117.19°
Last column: nearest neighbours and their distance in Å.
Fractional positions:
Ho 0.1579 0.8421 0.7500  5 Pd 2.92-2.93, 6 Mg 3.26-3.27
Ho 0.8421 0.1579 0.2500  5 Pd 2.92-2.93, 6 Mg 3.26-3.27
Mg 0.5000 0.5000 0.0000  2 Mg 2.91, 2 Pd 3.05, 2 Ho 3.26
Mg 0.5000 0.5000 0.5000  2 Mg 2.91, 2 Pd 3.05, 2 Ho 3.26
Pd 0.1858 0.8142 0.2500  5 Ho 2.92-2.93, 2 Mg 3.05
Pd 0.8142 0.1858 0.7500  5 Ho 2.92-2.93, 2 Mg 3.05

Properties
Formation energy: -611.0 meV/atom
Crystal system: orthorhombic
Total magnetization: 0.0 μB/f.u.
DOS at the Fermi energy: 0.69 states/eV/atom
SG: No. 63